This record from Alexandria via LeMat-Bulk describes a relaxed structure of Zr4Hg2Br. The functional is GGA-PBE.

Cell: 4.8597 4.8597 14.8694 Å, 90.00 90.00 90.00°
Last column: nearest neighbours and their distance in Å.
Element x y z (fractional)
Zr 0.0000 0.0000 0.1767  1 Br 2.63, 1 Hg 2.86
Zr 0.0000 0.0000 0.8233  1 Br 2.63, 1 Hg 2.86
Zr 0.0000 0.5000 0.0000  2 Br 2.43
Zr 0.0000 0.5000 0.5000  2 Br 2.43
Zr 0.5000 0.0000 0.0000  2 Br 2.43
Zr 0.5000 0.0000 0.5000  2 Br 2.43
Zr 0.5000 0.5000 0.3233  1 Br 2.63, 1 Hg 2.86
Zr 0.5000 0.5000 0.6767  1 Br 2.63, 1 Hg 2.86
Hg 0.0000 0.0000 0.3691  5 Zr 2.86-3.11
Hg 0.0000 0.0000 0.6309  5 Zr 2.86-3.11
Hg 0.5000 0.5000 0.1309  5 Zr 2.86-3.11
Hg 0.5000 0.5000 0.8691  5 Zr 2.86-3.11
Br 0.0000 0.0000 0.0000  6 Zr 2.43-2.63
Br 0.5000 0.5000 0.5000  6 Zr 2.43-2.63

Computed properties:
Its total energy is -4.87 eV per atom. As for the uncorrected formation energy: 0.338 eV/atom.